LiAc3Ga2Au6: optimized geometry, PBE-GGA.

Its formation energy is -558 meV/atom. The value obtained for the total energy is -46.648 eV per formula unit.

The structure belongs to space group P-3m1 (No. 164); the cell edges are 6.4633, 6.4633 and 8.4459 Å and the angles 90.00°, 90.00° and 120.00°. The asymmetric unit holds Li at (0.0000, 0.0000, 0.0000), Ac at (0.0000, 0.0000, 0.5000), Ac at (0.3333, 0.6667, 0.1429), Ga at (0.3333, 0.6667, 0.5394) and Au at (0.1788, 0.3575, 0.7933).

Li3Ac2GaAu4: optimized geometry, PBE-GGA.

Its formation energy is -637 meV/atom. The value obtained for the total energy is -36.463 eV per formula unit.

The structure belongs to space group P-4m2 (No. 115); the cell edges are 4.6497, 4.6497 and 10.0938 Å and the angles 90.00°, 90.00° and 90.00°. The asymmetric unit holds Li at (0.0000, 0.0000, 0.0000), Li at (0.0000, 0.5000, 0.6141), Ac at (0.0000, 0.5000, 0.2525), Ga at (0.5000, 0.5000, 0.0000), Au at (0.0000, 0.0000, 0.5000), Au at (0.0000, 0.5000, 0.8701) and Au at (0.5000, 0.5000, 0.5000).

LiAcGaAu: optimized geometry, PBE-GGA.

The calculation puts the offset from the most stable computed form at 0.00 kcal/mol of atoms. Its formation energy is -565 meV/atom. The value obtained for the total energy is -14.587 eV per formula unit.

The structure belongs to space group Cm (No. 8); the cell edges are 7.9072, 4.5713 and 5.9546 Å and the angles 90.00°, 116.42° and 90.00°. The asymmetric unit holds Li at (0.0000, 0.0000, 0.0000), Ac at (0.4899, 0.0000, 0.4704), Ga at (0.2868, 0.0000, 0.8601) and Au at (0.1895, 0.5000, 0.0689).

Li2Ac3GaAu6: optimized geometry, PBE-GGA.

Its formation energy is -533 meV/atom. The value obtained for the total energy is -45.244 eV per formula unit.

The structure belongs to space group P-3m1 (No. 164); the cell edges are 6.4520, 6.4520 and 8.5574 Å and the angles 90.00°, 90.00° and 120.00°. The asymmetric unit holds Li at (0.3333, 0.6667, 0.0449), Ac at (0.0000, 0.0000, 0.0000), Ac at (0.3333, 0.6667, 0.6269), Ga at (0.0000, 0.0000, 0.5000) and Au at (0.1814, 0.3628, 0.2856).